Density functional theory data (GGA-PBE) for crystalline CdFeSb2 at its relaxed geometry.

- Final energy: -4.196 eV/atom
- Formation energy without anion corrections: 0.2101 eV/atom

abc: 3.153 4.248 7.027
angles: 72.69 90.00 90.00
Each line ends with the local moment (μB).
Element x y z (fractional)
Sb 0.500 0.311 0.253  -0.03
Sb 0.000 0.997 0.879  0.01
Fe 0.500 0.506 0.862  2.15
Cd 0.000 0.686 0.506  -0.01

Density functional theory data (GGA-PBE) for crystalline CdFeSb2 at its relaxed geometry.

- Final energy: -4.263 eV/atom
- Formation energy without anion corrections: 0.1426 eV/atom

abc: 3.175 3.175 8.837
angles: 90.00 90.00 90.00
Each line ends with the local moment (μB).
Element x y z (fractional)
Sb 0.000 0.000 0.927  -0.03
Sb 0.000 0.000 0.573  -0.03
Fe 0.500 0.500 0.750  1.18
Cd 0.500 0.500 0.250  0.00

Density functional theory data (GGA-PBE) for crystalline CdFe2Sb at its relaxed geometry.

- Final energy: -5.170 eV/atom
- Formation energy without anion corrections: 0.3206 eV/atom
- Excess energy over the best structure of this formula in the dataset: 114 meV per atom

abc: 5.262 5.262 4.654
angles: 71.43 71.43 34.37
Each line ends with the local moment (μB).
Element x y z (fractional)
Fe 0.032 0.032 0.999  2.48
Fe 0.723 0.723 0.746  2.51
Cd 0.266 0.266 0.207  -0.04
Sb 0.479 0.479 0.548  -0.01